No. 1
The following is a PBE calculation of AlAsW2 after structural relaxation, from Alexandria via LeMat-Bulk.

The structure in extended XYZ format:
```
4
Lattice="3.249 0.000 0.000 0.000 3.249 0.000 0.000 0.000 5.867" Properties=species:S:1:pos:R:3 pbc="T T T"
Al 0.000 0.000 0.000
As 1.624 1.624 1.562
W 0.000 0.000 2.887
W 1.624 1.624 4.505
```

spin magnetization: 0.0 Bohr magnetons per cell
ΔH_f (0 K): -0.04 eV/atom
volume: 62 Å³ per cell
ρ: 12.594 Mg/m³

***

No. 2
The following is a PBE calculation of Al4AsW after structural relaxation, from Alexandria via LeMat-Bulk.

The structure in extended XYZ format:
```
6
Lattice="0.000 3.629 3.629 3.629 0.000 3.629 3.629 3.629 0.000" Properties=species:S:1:pos:R:3 pbc="T T T"
Al 0.901 0.901 0.901
Al 2.728 2.728 0.901
Al 2.728 0.901 2.728
Al 0.901 2.728 2.728
As 3.629 3.629 3.629
W 5.443 5.443 5.443
```

spin magnetization: 0.0 Bohr magnetons per cell
ΔH_f (0 K): 0.21 eV/atom
volume: 96 Å³ per cell
ρ: 6.371 Mg/m³

***

No. 3
The following is a PBE calculation of AlAsW2 after structural relaxation, from Alexandria via LeMat-Bulk.

The structure in extended XYZ format:
```
4
Lattice="-1.586 2.351 4.253 1.586 -2.351 4.253 1.586 2.351 -4.253" Properties=species:S:1:pos:R:3 pbc="T T T"
Al 0.000 0.000 0.000
As 0.000 0.000 4.253
W 1.586 0.000 2.250
W 0.000 2.351 2.003
```

spin magnetization: 0.0 Bohr magnetons per cell
ΔH_f (0 K): 0.31 eV/atom
volume: 63 Å³ per cell
ρ: 12.289 Mg/m³

***

No. 4
The following is a PBE calculation of Al2AsW after structural relaxation, from Alexandria via LeMat-Bulk.

The structure in extended XYZ format:
```
4
Lattice="3.409 0.000 0.000 0.000 3.409 0.000 0.000 0.000 5.473" Properties=species:S:1:pos:R:3 pbc="T T T"
Al 0.000 0.000 0.000
Al 1.704 1.704 1.390
As 0.000 0.000 2.791
W 1.704 1.704 4.155
```

spin magnetization: 0.0 Bohr magnetons per cell
ΔH_f (0 K): 0.10 eV/atom
volume: 64 Å³ per cell
ρ: 8.166 Mg/m³

***

No. 5
The following is a PBE calculation of AlAsW2 after structural relaxation, from Alexandria via LeMat-Bulk.

The structure in extended XYZ format:
```
4
Lattice="2.819 0.000 0.000 0.000 4.262 0.000 -0.709 0.000 5.322" Properties=species:S:1:pos:R:3 pbc="T T T"
Al 0.000 0.000 0.000
As 1.055 0.000 2.661
W 0.386 2.131 4.031
W 1.723 2.131 1.292
```

spin magnetization: 0.0 Bohr magnetons per cell
ΔH_f (0 K): 0.34 eV/atom
volume: 64 Å³ per cell
ρ: 12.194 Mg/m³

***

No. 6
The following is a PBE calculation of Al2As2W after structural relaxation, from Alexandria via LeMat-Bulk.

The structure in extended XYZ format:
```
10
Lattice="6.542 0.000 0.000 0.000 6.542 0.000 0.000 0.000 4.057" Properties=species:S:1:pos:R:3 pbc="T T T"
Al 1.097 2.174 0.000
Al 2.174 5.445 0.000
Al 4.368 1.097 0.000
Al 5.445 4.368 0.000
As 0.931 4.202 2.029
As 2.340 0.931 2.029
As 4.202 5.612 2.029
As 5.612 2.340 2.029
W 0.000 0.000 2.029
W 3.271 3.271 2.029
```

spin magnetization: 0.0 Bohr magnetons per cell
ΔH_f (0 K): 0.28 eV/atom
volume: 174 Å³ per cell
ρ: 7.414 Mg/m³

***

No. 7
The following is a PBE calculation of AlAsW2 after structural relaxation, from Alexandria via LeMat-Bulk.

The structure in extended XYZ format:
```
4
Lattice="1.592 -2.377 0.000 1.592 2.377 0.000 0.000 0.000 8.429" Properties=species:S:1:pos:R:3 pbc="T T T"
Al 0.000 0.000 0.000
As 0.000 0.000 4.215
W 1.592 0.000 2.181
W 1.592 0.000 6.248
```

spin magnetization: 0.0 Bohr magnetons per cell
ΔH_f (0 K): 0.37 eV/atom
volume: 64 Å³ per cell
ρ: 12.223 Mg/m³

***

No. 8
The following is a PBE calculation of AlAsW after structural relaxation, from Alexandria via LeMat-Bulk.

The structure in extended XYZ format:
```
3
Lattice="0.000 2.350 6.480 1.658 0.000 6.480 1.658 2.350 0.000" Properties=species:S:1:pos:R:3 pbc="T T T"
Al 0.000 0.000 0.000
As 1.658 2.350 8.862
W 1.658 2.350 4.389
```

spin magnetization: 0.0 Bohr magnetons per cell
ΔH_f (0 K): 0.32 eV/atom
volume: 51 Å³ per cell
ρ: 9.395 Mg/m³

***

No. 9
The following is a PBE calculation of Al2AsW after structural relaxation, from Alexandria via LeMat-Bulk.

The structure in extended XYZ format:
```
4
Lattice="1.555 0.898 8.103 -1.555 0.898 8.103 0.000 -1.796 8.103" Properties=species:S:1:pos:R:3 pbc="T T T"
Al 0.000 0.000 0.000
Al 0.000 0.000 5.937
As 0.000 0.000 18.282
W 0.000 0.000 11.981
```

spin magnetization: 0.0 Bohr magnetons per cell
ΔH_f (0 K): 0.12 eV/atom
volume: 68 Å³ per cell
ρ: 7.650 Mg/m³

***

No. 10
The following is a PBE calculation of Al2AsW after structural relaxation, from Alexandria via LeMat-Bulk.

The structure in extended XYZ format:
```
4
Lattice="1.449 0.837 9.080 -1.449 0.837 9.080 0.000 -1.673 9.080" Properties=species:S:1:pos:R:3 pbc="T T T"
Al 0.000 0.000 6.715
Al 0.000 0.000 20.523
As 0.000 0.000 0.000
W 0.000 0.000 13.619
```

spin magnetization: 0.0 Bohr magnetons per cell
ΔH_f (0 K): 0.11 eV/atom
volume: 66 Å³ per cell
ρ: 7.863 Mg/m³

***

No. 11
The following is a PBE calculation of Al2AsW after structural relaxation, from Alexandria via LeMat-Bulk.

The structure in extended XYZ format:
```
4
Lattice="4.739 -1.516 0.000 4.739 1.516 0.000 -0.559 0.000 4.463" Properties=species:S:1:pos:R:3 pbc="T T T"
Al 2.156 0.000 1.088
Al 6.762 0.000 3.375
As -0.279 0.000 2.231
W 4.739 0.000 0.000
```

spin magnetization: 0.0 Bohr magnetons per cell
ΔH_f (0 K): 0.23 eV/atom
volume: 64 Å³ per cell
ρ: 8.100 Mg/m³

***

No. 12
The following is a PBE calculation of AlAsW2 after structural relaxation, from Alexandria via LeMat-Bulk.

The structure in extended XYZ format:
```
4
Lattice="2.956 0.000 0.000 0.000 4.591 0.000 -1.455 0.000 4.801" Properties=species:S:1:pos:R:3 pbc="T T T"
Al 0.000 0.000 0.000
As 1.476 2.295 1.087
W -0.003 2.295 3.264
W 1.468 0.000 2.277
```

spin magnetization: 0.0 Bohr magnetons per cell
ΔH_f (0 K): 0.21 eV/atom
volume: 65 Å³ per cell
ρ: 11.968 Mg/m³

***

No. 13
The following is a PBE calculation of Al2AsW after structural relaxation, from Alexandria via LeMat-Bulk.

The structure in extended XYZ format:
```
4
Lattice="3.177 0.000 0.000 0.000 4.230 0.000 -1.577 0.000 4.949" Properties=species:S:1:pos:R:3 pbc="T T T"
Al 0.000 0.000 0.000
Al 0.001 2.115 3.254
As 1.589 2.115 0.877
W 1.590 0.000 2.280
```

spin magnetization: 0.0 Bohr magnetons per cell
ΔH_f (0 K): 0.06 eV/atom
volume: 67 Å³ per cell
ρ: 7.807 Mg/m³

***

No. 14
The following is a PBE calculation of AlAsW2 after structural relaxation, from Alexandria via LeMat-Bulk.

The structure in extended XYZ format:
```
4
Lattice="3.031 0.000 0.000 0.000 3.031 0.000 0.000 0.000 6.760" Properties=species:S:1:pos:R:3 pbc="T T T"
Al 0.000 0.000 0.000
As 0.000 0.000 3.380
W 1.516 1.516 1.803
W 1.516 1.516 4.957
```

spin magnetization: 0.0 Bohr magnetons per cell
ΔH_f (0 K): 0.30 eV/atom
volume: 62 Å³ per cell
ρ: 12.554 Mg/m³

***

No. 15
The following is a PBE calculation of Al2AsW after structural relaxation, from Alexandria via LeMat-Bulk.

The structure in extended XYZ format:
```
4
Lattice="3.391 0.000 0.000 0.000 4.293 0.000 0.000 0.000 4.341" Properties=species:S:1:pos:R:3 pbc="T T T"
Al 0.000 0.000 0.000
Al 1.696 0.000 2.170
As 0.000 2.146 2.170
W 1.696 2.146 0.000
```

spin magnetization: 0.0 Bohr magnetons per cell
ΔH_f (0 K): 0.28 eV/atom
volume: 63 Å³ per cell
ρ: 8.219 Mg/m³

***

No. 16
The following is a PBE calculation of AlAsW after structural relaxation, from Alexandria via LeMat-Bulk.

The structure in extended XYZ format:
```
3
Lattice="3.089 0.000 0.000 -1.545 2.675 0.000 0.000 0.000 6.084" Properties=species:S:1:pos:R:3 pbc="T T T"
Al 0.000 0.000 0.000
As 1.545 0.892 2.227
W 0.000 1.784 4.037
```

spin magnetization: 0.0 Bohr magnetons per cell
ΔH_f (0 K): 0.02 eV/atom
volume: 50 Å³ per cell
ρ: 9.436 Mg/m³

***

No. 17
The following is a PBE calculation of Al2AsW after structural relaxation, from Alexandria via LeMat-Bulk.

The structure in extended XYZ format:
```
4
Lattice="-1.695 2.163 4.243 1.695 -2.163 4.243 1.695 2.163 -4.243" Properties=species:S:1:pos:R:3 pbc="T T T"
Al 0.000 0.000 2.085
Al 0.000 0.000 6.401
As 1.695 0.000 0.000
W 0.000 2.163 0.000
```

spin magnetization: 0.0 Bohr magnetons per cell
ΔH_f (0 K): 0.15 eV/atom
volume: 62 Å³ per cell
ρ: 8.349 Mg/m³

***

No. 18
The following is a PBE calculation of Al2As2W after structural relaxation, from Alexandria via LeMat-Bulk.

The structure in extended XYZ format:
```
5
Lattice="-1.709 1.709 7.882 1.709 -1.709 7.882 1.709 1.709 -7.882" Properties=species:S:1:pos:R:3 pbc="T T T"
Al 1.709 0.000 3.941
Al 0.000 1.709 3.941
As 0.000 0.000 1.394
As 0.000 0.000 14.371
W 0.000 0.000 7.882
```

spin magnetization: 0.0 Bohr magnetons per cell
ΔH_f (0 K): 0.51 eV/atom
volume: 92 Å³ per cell
ρ: 6.989 Mg/m³

***

No. 19
The following is a PBE calculation of Al2AsW after structural relaxation, from Alexandria via LeMat-Bulk.

The structure in extended XYZ format:
```
4
Lattice="3.167 0.000 0.000 0.000 3.167 0.000 0.000 0.000 6.695" Properties=species:S:1:pos:R:3 pbc="T T T"
Al 0.000 0.000 0.000
Al 1.584 1.584 1.852
As 0.000 0.000 3.723
W 1.584 1.584 5.018
```

spin magnetization: 0.0 Bohr magnetons per cell
ΔH_f (0 K): 0.15 eV/atom
volume: 67 Å³ per cell
ρ: 7.732 Mg/m³

***

No. 20
The following is a PBE calculation of Al2AsW after structural relaxation, from Alexandria via LeMat-Bulk.

The structure in extended XYZ format:
```
4
Lattice="0.000 3.176 3.176 3.176 0.000 3.176 3.176 3.176 0.000" Properties=species:S:1:pos:R:3 pbc="T T T"
Al 0.000 0.000 0.000
Al 1.588 1.588 1.588
As 4.764 4.764 4.764
W 3.176 3.176 3.176
```

spin magnetization: 0.0 Bohr magnetons per cell
ΔH_f (0 K): 0.42 eV/atom
volume: 64 Å³ per cell
ρ: 8.103 Mg/m³